This record from Alexandria via LeMat-Bulk describes a geometry-optimized Ag3Sb structure. The functional is PBE.

Values from the calculation:
Magnetization (μB/f.u.): 0.0
Total energy (eV per atom): -3.09
Density of states at the Fermi level (states/eV per atom): 0.231
Formation energy without anion corrections (eV per atom): 0.0825

a b c (Å): 3.201 9.685 5.214
angles (deg): 90.00 90.00 90.00
Space group Imm2 (No. 44)
Asymmetric unit:
Ag  0.000  0.000  0.000 (multiplicity 2)
Ag  0.000  0.255  0.664 (multiplicity 4)
Sb  0.000  0.500  0.003 (multiplicity 2)

This record from Alexandria via LeMat-Bulk describes a geometry-optimized AgSb5 structure. The functional is PBE.

Values from the calculation:
Magnetization (μB/f.u.): 0.0
Total energy (eV per atom): -3.82
Density of states at the Fermi level (states/eV per atom): 0.374
Offset from the most stable computed form (kJ/mol of atoms): 0.0
Formation energy without anion corrections (eV per atom): 0.0878

a b c (Å): 6.086 4.344 12.876
angles (deg): 90.00 90.00 90.00
Space group Amm2 (No. 38)
Asymmetric unit:
Ag  0.000  0.000  0.000 (multiplicity 2)
Sb  0.000  0.000  0.330 (multiplicity 2)
Sb  0.000  0.000  0.670 (multiplicity 2)
Sb  0.500  0.000  0.000 (multiplicity 2)
Sb  0.500  0.000  0.332 (multiplicity 2)
Sb  0.500  0.000  0.668 (multiplicity 2)

This record from Alexandria via LeMat-Bulk describes a geometry-optimized AgSb5 structure. The functional is PBE.

Values from the calculation:
Magnetization (μB/f.u.): 0.0
Total energy (eV per atom): -3.78
Density of states at the Fermi level (states/eV per atom): 0.529
Offset from the most stable computed form (kJ/mol of atoms): 4.0
Formation energy without anion corrections (eV per atom): 0.1294

a b c (Å): 13.359 3.140 8.455
angles (deg): 90.00 111.75 90.00
Space group C2/m (No. 12)
Asymmetric unit:
Ag  0.000  0.000  0.000 (multiplicity 2)
Sb  0.000  0.500  0.500 (multiplicity 2)
Sb  0.149  0.500  0.288 (multiplicity 4)
Sb  0.166  0.000  0.834 (multiplicity 4)

This record from Alexandria via LeMat-Bulk describes a geometry-optimized AgSb7 structure. The functional is PBE.

Values from the calculation:
Magnetization (μB/f.u.): 0.0
Total energy (eV per atom): -3.65
Density of states at the Fermi level (states/eV per atom): 0.904
Formation energy without anion corrections (eV per atom): 0.3148

a b c (Å): 9.479 9.479 9.479
angles (deg): 90.00 90.00 90.00
Space group Fm-3m (No. 225)
Asymmetric unit:
Ag  0.000  0.000  0.000 (multiplicity 4)
Sb  0.000  0.000  0.500 (multiplicity 4)
Sb  0.000  0.250  0.250 (multiplicity 24)

This record from Alexandria via LeMat-Bulk describes a geometry-optimized Ag4Sb structure. The functional is PBE.

Values from the calculation:
Magnetization (μB/f.u.): 0.0
Total energy (eV per atom): -2.56
Density of states at the Fermi level (states/eV per atom): 0.303
Offset from the most stable computed form (kJ/mol of atoms): 48.6
Formation energy without anion corrections (eV per atom): 0.5447

a b c (Å): 5.220 5.220 5.220
angles (deg): 90.00 90.00 90.00
Space group Pm-3m (No. 221)
Asymmetric unit:
Ag  0.000  0.000  0.000 (multiplicity 1)
Ag  0.000  0.500  0.500 (multiplicity 3)
Sb  0.500  0.500  0.500 (multiplicity 1)

This record from Alexandria via LeMat-Bulk describes a geometry-optimized Ag3Sb structure. The functional is PBE.

Values from the calculation:
Magnetization (μB/f.u.): 0.0
Total energy (eV per atom): -3.12
Density of states at the Fermi level (states/eV per atom): 0.283
Formation energy without anion corrections (eV per atom): 0.0463

a b c (Å): 4.324 4.324 8.564
angles (deg): 90.00 90.00 90.00
Space group I4/mmm (No. 139)
Asymmetric unit:
Ag  0.000  0.000  0.000 (multiplicity 2)
Ag  0.000  0.500  0.250 (multiplicity 4)
Sb  0.000  0.000  0.500 (multiplicity 2)

This record from Alexandria via LeMat-Bulk describes a geometry-optimized AgSb3 structure. The functional is PBE.

Values from the calculation:
Magnetization (μB/f.u.): 0.0
Total energy (eV per atom): -3.58
Density of states at the Fermi level (states/eV per atom): 0.455
Offset from the most stable computed form (kJ/mol of atoms): 13.0
Formation energy without anion corrections (eV per atom): 0.2293

a b c (Å): 3.229 4.015 7.803
angles (deg): 90.00 90.00 90.00
Space group Pmmm (No. 47)
Asymmetric unit:
Ag  0.000  0.000  0.000 (multiplicity 1)
Sb  0.000  0.000  0.500 (multiplicity 1)
Sb  0.500  0.500  0.224 (multiplicity 2)

This record from Alexandria via LeMat-Bulk describes a geometry-optimized Ag5Sb3 structure. The functional is PBE.

Values from the calculation:
Magnetization (μB/f.u.): 0.0
Total energy (eV per atom): -3.21
Density of states at the Fermi level (states/eV per atom): 0.271
Offset from the most stable computed form (kJ/mol of atoms): 1.6
Formation energy without anion corrections (eV per atom): 0.1179

a b c (Å): 5.572 7.880 9.131
angles (deg): 83.60 72.41 69.46
Space group P1 (No. 1)
Asymmetric unit:
Ag  0.000  0.000  0.000 (multiplicity 1)
Ag  0.007  0.469  0.517 (multiplicity 1)
Ag  0.171  0.005  0.653 (multiplicity 1)
Ag  0.287  0.429  0.995 (multiplicity 1)
Ag  0.454  0.428  0.662 (multiplicity 1)
Ag  0.481  0.711  0.827 (multiplicity 1)
Ag  0.507  0.865  0.117 (multiplicity 1)
Ag  0.692  0.473  0.141 (multiplicity 1)
Ag  0.798  0.863  0.538 (multiplicity 1)
Ag  0.981  0.711  0.826 (multiplicity 1)
Sb  0.026  0.713  0.229 (multiplicity 1)
Sb  0.265  0.215  0.260 (multiplicity 1)
Sb  0.427  0.715  0.428 (multiplicity 1)
Sb  0.558  0.057  0.827 (multiplicity 1)
Sb  0.696  0.216  0.399 (multiplicity 1)
Sb  0.905  0.359  0.830 (multiplicity 1)

This record from Alexandria via LeMat-Bulk describes a geometry-optimized AgSb3 structure. The functional is PBE.

Values from the calculation:
Magnetization (μB/f.u.): 0.0
Total energy (eV per atom): -3.60
Density of states at the Fermi level (states/eV per atom): 0.612
Offset from the most stable computed form (kJ/mol of atoms): 11.0
Formation energy without anion corrections (eV per atom): 0.2088

a b c (Å): 7.9864 7.9864 3.9399
angles (deg): 90.00 90.00 120.00
Space group P6_3/mmc (No. 194)
Asymmetric unit:
Ag  0.3333  0.6667  0.2500 (multiplicity 2)
Sb  0.1775  0.3550  0.7500 (multiplicity 6)

This record from Alexandria via LeMat-Bulk describes a geometry-optimized AgSb3 structure. The functional is PBE.

Values from the calculation:
Magnetization (μB/f.u.): 0.0
Total energy (eV per atom): -3.51
Density of states at the Fermi level (states/eV per atom): 0.498
Offset from the most stable computed form (kJ/mol of atoms): 19.0
Formation energy without anion corrections (eV per atom): 0.2918

a b c (Å): 4.686 4.686 4.686
angles (deg): 90.00 90.00 90.00
Space group Pm-3m (No. 221)
Asymmetric unit:
Ag  0.000  0.000  0.000 (multiplicity 1)
Sb  0.000  0.500  0.500 (multiplicity 3)

This record from Alexandria via LeMat-Bulk describes a geometry-optimized AgSb3 structure. The functional is PBE.

Values from the calculation:
Magnetization (μB/f.u.): 0.0
Total energy (eV per atom): -3.58
Density of states at the Fermi level (states/eV per atom): 0.364
Offset from the most stable computed form (kJ/mol of atoms): 13.0
Formation energy without anion corrections (eV per atom): 0.2294

a b c (Å): 3.2769 3.2769 10.9217
angles (deg): 90.00 90.00 120.00
Space group P-6m2 (No. 187)
Asymmetric unit:
Ag  0.0000  0.0000  0.0000 (multiplicity 1)
Sb  0.0000  0.0000  0.5000 (multiplicity 1)
Sb  0.6667  0.3333  0.2210 (multiplicity 2)

This record from Alexandria via LeMat-Bulk describes a geometry-optimized AgSb5 structure. The functional is PBE.

Values from the calculation:
Magnetization (μB/f.u.): 0.0
Total energy (eV per atom): -3.49
Density of states at the Fermi level (states/eV per atom): 0.269
Offset from the most stable computed form (kJ/mol of atoms): 32.3
Formation energy without anion corrections (eV per atom): 0.4228

a b c (Å): 6.1399 6.1399 5.5161
angles (deg): 90.00 90.00 120.00
Space group P6/mmm (No. 191)
Asymmetric unit:
Ag  0.0000  0.0000  0.0000 (multiplicity 1)
Sb  0.0000  0.5000  0.5000 (multiplicity 3)
Sb  0.3333  0.6667  0.0000 (multiplicity 2)

This record from Alexandria via LeMat-Bulk describes a geometry-optimized Ag6Sb structure. The functional is PBE.

Values from the calculation:
Magnetization (μB/f.u.): 0.0
Total energy (eV per atom): -2.22
Density of states at the Fermi level (states/eV per atom): 0.298
Formation energy without anion corrections (eV per atom): 0.8165

a b c (Å): 7.389 7.389 7.389
angles (deg): 90.00 90.00 90.00
Space group Im-3m (No. 229)
Asymmetric unit:
Ag  0.000  0.250  0.500 (multiplicity 12)
Sb  0.000  0.000  0.000 (multiplicity 2)